Material: MgNpNi2H8
Method: DFT, GGA-PBE
State: optimized geometry

Calculated values
V, Å³/atom: 8.29

a = 4.3063 Å, b = 4.3063 Å, c = 18.5725 Å
α = 90.00°, β = 90.00°, γ = 120.00°
Last column: nearest neighbours and their distance in Å.
Space group R-3 (No. 148, hexagonal axes)
Asymmetric unit:
Mg1 0.0000 0.0000 0.0000 x3  6 H 2.03
Np1 0.0000 0.0000 0.5000 x3  12 H 2.25-2.49
Ni1 0.0000 0.0000 0.2427 x6  4 H 1.57-1.58
H1 0.0000 0.0000 0.1581 x6  1 Ni 1.57
H2 0.0254 0.2890 0.3973 x18  1 Ni 1.58

---

Material: Tb8Dy3
Method: DFT, GGA-PBE
State: optimized geometry

Calculated values
V, Å³/atom: 32.65

a = 9.6176 Å, b = 9.6176 Å, c = 13.4523 Å
α = 90.00°, β = 90.00°, γ = 120.00°
Last column: nearest neighbours and their distance in Å.
Space group R-3 (No. 148, hexagonal axes)
Asymmetric unit:
Tb1 0.0000 0.0000 0.1163 x6  3 Dy 2.86, 1 Tb 3.13
Tb2 0.0389 0.8086 0.6130 x18  2 Dy 3.17-3.19
Dy1 0.0000 0.5000 0.5000 x9  6 Tb 2.86-3.19

---

Material: Tb2Tc2B2C
Method: DFT, GGA-PBE
State: optimized geometry

Calculated values
V, Å³/atom: 15.23

a = 10.9410 Å, b = 3.5862 Å, c = 6.7136 Å
α = 90.00°, β = 125.95°, γ = 90.00°
Last column: nearest neighbours and their distance in Å.
Space group C2/m (No. 12)
Asymmetric unit:
Tb1 0.0705 0.0000 0.3256 x4  2 C 2.57
Tc1 0.2046 0.5000 0.0954 x4  1 C 1.93, 2 B 2.15
B1 0.1673 0.5000 0.7286 x4  3 Tc 2.15-2.25
C1 0.0000 0.5000 0.0000 x2  2 Tc 1.93

---

| no. | calculated total energy (Ha/atom) | magnetic moment (μB/f.u.) | DOS(E_F) (states/eV per atom) |
| --- | --- | --- | --- |
| 1 | -0.16280 | 2.3 | 0.77 |
| 2 | -0.14978 | 0.0 | 1.10 |
| 3 | -0.29088 | 0.0 | 0.46 |